# 1
Material: K2Mo2O7
Method: DFT, PBEsol
State: optimized geometry

Cell: 6.952 7.215 7.540 Å, 82.42 67.23 84.95°
Fractional positions:
O1 0.180 0.229 0.515
K1 0.697 0.841 0.847
K2 0.238 0.620 0.435
Mo1 0.746 0.916 0.316
O2 0.715 0.210 0.954
O3 0.056 0.467 0.142
O4 0.147 0.849 0.734
Mo2 0.254 0.084 0.684
Mo3 0.172 0.649 0.945
O5 0.616 0.463 0.216
O6 0.522 0.085 0.639
O7 0.874 0.815 0.100
K3 0.762 0.380 0.565
Mo4 0.828 0.351 0.055
O8 0.944 0.533 0.858
O9 0.478 0.915 0.361
K4 0.303 0.159 0.153
O10 0.820 0.771 0.485
O11 0.285 0.790 0.046
O12 0.384 0.537 0.784
O13 0.126 0.185 0.900
O14 0.853 0.151 0.266

=====

# 2
Material: K2Mo3O10
Method: DFT, PBEsol
State: optimized geometry

Cell: 7.936 8.080 8.828 Å, 97.87 90.00 119.41°
Fractional positions:
O1 0.362 0.240 0.677
O2 0.878 0.240 0.177
K1 0.778 0.371 0.657
O3 0.122 0.760 0.823
O4 0.156 0.411 0.580
O5 0.934 0.051 0.411
Mo1 0.970 0.784 0.982
O6 0.117 0.051 0.911
O7 0.674 0.731 0.635
O8 0.844 0.589 0.420
O9 0.508 0.888 0.112
O10 0.745 0.589 0.920
O11 0.638 0.760 0.323
O12 0.492 0.112 0.888
Mo2 0.697 0.000 0.250
O13 0.620 0.112 0.388
O14 0.380 0.888 0.612
O15 0.057 0.731 0.135
K2 0.222 0.629 0.343
O16 0.255 0.411 0.080
O17 0.326 0.269 0.365
Mo3 0.030 0.216 0.018
Mo4 0.186 0.216 0.518
O18 0.066 0.949 0.589
O19 0.943 0.269 0.865
K3 0.407 0.629 0.843
Mo5 0.814 0.784 0.482
O20 0.883 0.949 0.089
K4 0.593 0.371 0.157
Mo6 0.303 0.000 0.750

=====

# 3
Material: KMo2P3O13
Method: DFT, PBEsol
State: optimized geometry

Cell: 6.401 9.629 19.055 Å, 90.00 90.00 106.06°
Fractional positions:
O1 0.426 0.219 0.788
O2 0.861 0.349 0.485
K1 0.483 0.646 0.339
O3 0.774 0.707 0.508
P1 0.329 0.970 0.674
Mo1 0.130 0.933 0.338
P2 0.671 0.030 0.326
O4 0.557 0.063 0.652
O5 0.226 0.293 0.492
K2 0.983 0.646 0.161
O6 0.896 0.592 0.406
O7 0.943 0.937 0.152
O8 0.816 0.429 0.291
O9 0.396 0.592 0.094
O10 0.316 0.935 0.753
O11 0.184 0.571 0.709
Mo2 0.816 0.381 0.375
O12 0.231 0.171 0.132
O13 0.816 0.935 0.747
O14 0.684 0.065 0.247
O15 0.179 0.064 0.653
O16 0.216 0.135 0.387
P3 0.512 0.303 0.966
O17 0.407 0.154 0.934
Mo3 0.630 0.933 0.162
Mo4 0.316 0.381 0.125
O18 0.684 0.571 0.791
Mo5 0.184 0.619 0.625
O19 0.639 0.651 0.985
O20 0.508 0.378 0.400
P4 0.012 0.303 0.534
O21 0.635 0.383 0.126
O22 0.321 0.936 0.153
O23 0.679 0.064 0.847
O24 0.057 0.063 0.848
Mo6 0.370 0.067 0.838
O25 0.361 0.349 0.015
Mo7 0.870 0.067 0.662
P5 0.488 0.697 0.034
O26 0.139 0.651 0.515
O27 0.726 0.293 0.008
O28 0.604 0.408 0.906
O29 0.093 0.846 0.434
O30 0.574 0.781 0.212
O31 0.104 0.408 0.594
Mo8 0.684 0.619 0.875
O32 0.316 0.429 0.209
P6 0.171 0.030 0.174
O33 0.716 0.135 0.113
P7 0.769 0.291 0.091
O34 0.926 0.219 0.712
P8 0.269 0.291 0.409
O35 0.769 0.829 0.868
O36 0.992 0.622 0.900
O37 0.821 0.936 0.347
K3 0.517 0.354 0.661
O38 0.184 0.065 0.253
P9 0.731 0.709 0.591
O39 0.135 0.383 0.374
P10 0.231 0.709 0.909
O40 0.784 0.865 0.613
O41 0.907 0.154 0.566
O42 0.365 0.617 0.874
O43 0.269 0.829 0.632
O44 0.593 0.846 0.066
P11 0.829 0.970 0.826
O45 0.074 0.781 0.288
O46 0.443 0.937 0.348
O47 0.284 0.865 0.887
O48 0.492 0.622 0.600
K4 0.017 0.354 0.839
O49 0.274 0.707 0.992
O50 0.731 0.171 0.368
O51 0.008 0.378 0.100
O52 0.865 0.617 0.626
P12 0.988 0.697 0.466

=====

# 4
Material: K2Mo2P2O11
Method: DFT, PBEsol
State: optimized geometry

Results
energy above the most stable polymorph in this dataset	0.19	eV/f.u.

Cell: 9.834 9.914 10.038 Å, 90.00 90.00 98.10°
Fractional positions:
Mo1 0.346 0.889 0.913
O1 0.236 0.527 0.911
P1 0.873 0.891 0.421
K1 0.999 0.251 0.499
O2 0.715 0.667 0.939
O3 0.933 0.420 0.214
O4 0.469 0.024 0.494
O5 0.032 0.023 0.022
O6 0.807 0.148 0.307
P2 0.127 0.109 0.921
Mo2 0.652 0.609 0.088
O7 0.919 0.325 0.751
O8 0.445 0.994 0.744
O9 0.283 0.582 0.560
Mo3 0.926 0.100 0.178
O10 0.063 0.078 0.781
O11 0.432 0.224 0.646
O12 0.067 0.580 0.714
O13 0.724 0.919 0.437
O14 0.866 0.235 0.046
O15 0.535 0.478 0.512
O16 0.571 0.278 0.362
P3 0.133 0.611 0.574
O17 0.081 0.675 0.251
O18 0.285 0.333 0.439
P4 0.391 0.566 0.884
O19 0.937 0.922 0.281
P5 0.867 0.389 0.074
Mo4 0.654 0.111 0.413
K2 0.001 0.749 0.999
O20 0.809 0.646 0.191
O21 0.128 0.263 0.949
O22 0.555 0.006 0.244
O23 0.465 0.522 0.012
O24 0.039 0.523 0.473
O25 0.193 0.852 0.807
O26 0.441 0.487 0.765
P6 0.605 0.933 0.122
O27 0.759 0.972 0.093
K3 0.771 0.033 0.814
O28 0.968 0.977 0.522
Mo5 0.070 0.401 0.818
O29 0.559 0.513 0.265
Mo6 0.074 0.900 0.678
O30 0.764 0.473 0.411
O31 0.078 0.177 0.244
P7 0.609 0.434 0.384
O32 0.961 0.477 0.973
O33 0.568 0.776 0.146
O34 0.134 0.765 0.546
O35 0.241 0.028 0.593
O36 0.922 0.823 0.744
P8 0.395 0.067 0.622
Mo7 0.348 0.391 0.588
K4 0.227 0.436 0.179
K5 0.229 0.967 0.314
O37 0.872 0.737 0.449
O38 0.717 0.418 0.060
O39 0.191 0.354 0.691
O40 0.429 0.722 0.862
O41 0.720 0.163 0.563
K6 0.506 0.257 0.924
O42 0.531 0.976 0.994
O43 0.280 0.837 0.063
K7 0.494 0.743 0.424
K8 0.773 0.564 0.679
Mo8 0.930 0.599 0.318
O44 0.276 0.081 0.937

=====

# 5
Material: KMo2P3O13
Method: DFT, PBEsol
State: optimized geometry

Cell: 8.847 8.897 8.897 Å, 105.34 111.12 111.12°
Fractional positions:
P1 0.060 0.648 0.237
O1 0.598 0.430 0.746
O2 0.209 0.941 0.792
O3 0.768 0.697 0.649
O4 0.902 0.254 0.570
O5 0.709 0.792 0.941
O6 0.791 0.059 0.208
O7 0.402 0.570 0.254
Mo1 0.829 0.672 0.837
O8 0.232 0.303 0.351
O9 0.401 0.100 0.649
O10 0.421 0.004 0.106
Mo2 0.329 0.837 0.672
O11 0.465 0.803 0.541
O12 0.921 0.106 0.004
O13 0.250 0.763 0.237
O14 0.599 0.900 0.351
O15 0.098 0.746 0.430
O16 0.291 0.208 0.059
K1 0.000 0.000 0.500
O17 0.579 0.996 0.894
P2 0.440 0.763 0.352
Mo3 0.671 0.163 0.328
P3 0.560 0.237 0.648
O18 0.099 0.351 0.900
O19 0.035 0.459 0.197
O20 0.965 0.541 0.803
O21 0.079 0.894 0.996
O22 0.750 0.237 0.763
O23 0.268 0.649 0.697
K2 0.500 0.500 0.000
Mo4 0.171 0.328 0.163
P4 0.250 0.011 0.989
O24 0.535 0.197 0.459
P5 0.940 0.352 0.763
O25 0.732 0.351 0.303
P6 0.750 0.989 0.011
O26 0.901 0.649 0.100

=====

# 6
Material: KMoPO6
Method: DFT, PBEsol
State: optimized geometry

Cell: 8.341 8.341 9.520 Å, 113.11 113.11 95.97°
Fractional positions:
K1 0.972 0.472 0.500
Mo1 0.028 0.972 0.500
O1 0.818 0.935 0.343
P1 0.134 0.134 0.268
P2 0.116 0.616 0.232
O2 0.595 0.981 0.893
O3 0.020 0.694 0.338
O4 0.725 0.342 0.157
O5 0.298 0.911 0.893
O6 0.655 0.769 0.607
O7 0.592 0.475 0.657
O8 0.089 0.702 0.107
K2 0.722 0.722 0.000
O9 0.185 0.568 0.843
O10 0.306 0.980 0.662
O11 0.318 0.645 0.338
O12 0.895 0.068 0.838
O13 0.161 0.048 0.393
K3 0.278 0.278 0.000
O14 0.065 0.182 0.657
O15 0.952 0.839 0.607
O16 0.019 0.405 0.107
O17 0.355 0.682 0.662
O18 0.932 0.105 0.162
Mo2 0.472 0.528 0.500
P3 0.866 0.866 0.732
Mo3 0.222 0.778 0.000
O19 0.525 0.408 0.343
O20 0.432 0.815 0.157
O21 0.658 0.275 0.843
O22 0.231 0.345 0.393
P4 0.384 0.884 0.768
O23 0.230 0.056 0.162
O24 0.944 0.770 0.838
Mo4 0.778 0.222 0.000
K4 0.528 0.028 0.500

=====

# 7
Material: K2Mo2P2O11
Method: DFT, PBEsol
State: optimized geometry

Results
energy above the most stable polymorph in this dataset	0.00	eV/f.u.

Cell: 8.911 9.315 10.936 Å, 90.00 90.00 90.00°
Fractional positions:
O1 0.200 0.873 0.175
K1 0.489 0.797 0.085
O2 0.302 0.452 0.467
O3 0.081 0.420 0.637
O4 0.919 0.580 0.363
P1 0.325 0.571 0.373
P2 0.175 0.929 0.873
Mo1 0.230 0.077 0.154
O5 0.300 0.373 0.825
O6 0.198 0.952 0.533
O7 0.200 0.127 0.325
Mo2 0.730 0.423 0.154
O8 0.698 0.548 0.533
O9 0.198 0.048 0.967
O10 0.727 0.202 0.102
O11 0.581 0.920 0.863
O12 0.698 0.452 0.967
O13 0.511 0.391 0.646
K2 0.989 0.297 0.415
O14 0.989 0.109 0.146
O15 0.081 0.580 0.863
P3 0.675 0.429 0.627
O16 0.800 0.127 0.825
P4 0.825 0.929 0.373
O17 0.273 0.202 0.602
Mo3 0.270 0.577 0.846
Mo4 0.270 0.423 0.654
O18 0.011 0.109 0.646
O19 0.700 0.627 0.175
K3 0.989 0.703 0.085
Mo5 0.230 0.923 0.346
O20 0.419 0.080 0.137
O21 0.259 0.500 0.250
O22 0.700 0.373 0.325
Mo6 0.770 0.077 0.654
O23 0.989 0.891 0.354
O24 0.241 0.000 0.750
O25 0.273 0.798 0.898
O26 0.759 0.000 0.250
O27 0.800 0.873 0.675
P5 0.675 0.571 0.873
K4 0.511 0.203 0.915
O28 0.227 0.702 0.398
K5 0.489 0.203 0.415
O29 0.300 0.627 0.675
K6 0.011 0.297 0.915
O30 0.773 0.298 0.602
Mo7 0.770 0.923 0.846
O31 0.727 0.798 0.398
O32 0.802 0.048 0.467
O33 0.302 0.548 0.033
O34 0.489 0.391 0.146
P6 0.175 0.071 0.627
O35 0.581 0.080 0.637
P7 0.825 0.071 0.127
O36 0.489 0.609 0.354
P8 0.325 0.429 0.127
K7 0.511 0.797 0.585
O37 0.919 0.420 0.137
O38 0.511 0.609 0.854
O39 0.741 0.500 0.750
O40 0.419 0.920 0.363
O41 0.773 0.702 0.898
O42 0.802 0.952 0.033
O43 0.011 0.891 0.854
K8 0.011 0.703 0.585
Mo8 0.730 0.577 0.346
O44 0.227 0.298 0.102

=====

# 8
Material: K2SmMoPO8
Method: DFT, PBEsol
State: optimized geometry

Cell: 6.998 12.111 12.111 Å, 60.77 73.21 73.21°
Fractional positions:
O1 0.322 0.661 0.107
K1 0.625 0.423 0.266
P1 0.250 0.069 0.931
O2 0.587 0.842 0.140
O3 0.570 0.360 0.658
Sm1 0.750 0.176 0.824
Mo1 0.833 0.417 0.917
P2 0.750 0.431 0.569
K2 0.125 0.266 0.423
O4 0.732 0.581 0.853
O5 0.208 0.557 0.568
P3 0.750 0.931 0.069
O6 0.832 0.943 0.932
O7 0.834 0.353 0.081
O8 0.232 0.853 0.581
O9 0.910 0.607 0.161
O10 0.668 0.068 0.057
Sm2 0.250 0.324 0.676
K3 0.875 0.734 0.577
O11 0.822 0.107 0.661
O12 0.168 0.057 0.068
O13 0.090 0.393 0.839
O14 0.087 0.140 0.842
K4 0.687 0.766 0.923
O15 0.792 0.443 0.432
O16 0.178 0.893 0.339
Mo2 0.667 0.083 0.583
K5 0.813 0.077 0.234
O17 0.413 0.158 0.860
P4 0.250 0.569 0.431
O18 0.430 0.640 0.342
O19 0.708 0.568 0.557
K6 0.313 0.234 0.077
K7 0.375 0.577 0.734
O20 0.768 0.147 0.419
O21 0.070 0.658 0.360
Sm3 0.750 0.676 0.324
O22 0.913 0.860 0.158
O23 0.292 0.432 0.443
O24 0.678 0.339 0.893
O25 0.410 0.161 0.607
Mo3 0.167 0.583 0.083
Sm4 0.250 0.824 0.176
K8 0.187 0.923 0.766
O26 0.268 0.419 0.147
O27 0.930 0.342 0.640
O28 0.590 0.839 0.393
O29 0.166 0.647 0.919
O30 0.332 0.932 0.943
Mo4 0.333 0.917 0.417
O31 0.334 0.081 0.353
O32 0.666 0.919 0.647

=====

ΔE_f (raw) values (in meV per atom) by entry order: -2096, -2065, -2128, -2174, -2129, -2165, -2186, -2562.
Uncorrected energy values (in eV per atom) by entry order: -7.7820, -8.0688, -7.9326, -7.7700, -7.9335, -7.7419, -7.7814, -7.7093.